No. 1
A relaxed structure of Pm2Al4Hg3Au, computed with PBE.

Cell lengths 4.4246, 4.4246, 11.1060 Å; angles 90.00, 90.00, 90.00 degrees
Sites, in units of the cell vectors:
Pm  0.5000  0.0000  0.2572
Pm  0.0000  0.5000  0.7428
Al  0.5000  0.5000  0.0000
Al  0.0000  0.0000  0.0000
Al  0.5000  0.0000  0.6291
Al  0.0000  0.5000  0.3709
Hg  0.0000  0.0000  0.5000
Hg  0.5000  0.0000  0.8596
Hg  0.0000  0.5000  0.1404
Au  0.5000  0.5000  0.5000

Mass density: 9.139 g/cm³
Raw total energy: -3.27 eV/atom
ΔE_f: -4.0 eV per formula unit
SG: P-4m2 (115)

---

No. 2
A relaxed structure of SrLiErCd, computed with PBE.

Cell lengths 5.4812, 5.4812, 5.4812 Å; angles 60.00, 60.00, 60.00 degrees
Sites, in units of the cell vectors:
Sr  0.0000  0.0000  0.0000
Cd  0.7500  0.7500  0.7500
Li  0.2500  0.2500  0.2500
Er  0.5000  0.5000  0.5000

Mass density: 5.337 g/cm³
Raw total energy: -2.32 eV/atom
ΔE_f: -0.2 eV per formula unit
SG: F-43m (216)

---

No. 3
A relaxed structure of CeNp2Te5, computed with PBE.

Cell lengths 5.4769, 7.5155, 7.5155 Å; angles 90.00, 90.00, 90.00 degrees
Each line ends with the local moment (μB).
Sites, in units of the cell vectors:
Ce  0.0000  0.0000  0.0000  0.01
Np  0.5000  0.5000  0.0000  4.47
Np  0.5000  0.0000  0.5000  4.47
Te  0.0000  0.7198  0.7198  -0.06
Te  0.0000  0.2802  0.7198  -0.06
Te  0.0000  0.7198  0.2802  -0.06
Te  0.5000  0.0000  0.0000  -0.04
Te  0.0000  0.2802  0.2802  -0.06

Mass density: 6.721 g/cm³
ΔE_f (raw): -2.2 kcal/mol of atoms
Raw total energy: -6.04 eV/atom
SG: P4/mmm (123)

---

No. 4
A relaxed structure of Rb2BrO4, computed with PBE.

Cell lengths 5.4732, 8.5357, 8.5357 Å; angles 90.00, 90.00, 90.00 degrees
Each line ends with the local moment (μB).
Sites, in units of the cell vectors:
Rb  0.0000  0.1937  0.8063  0.00
Rb  0.0000  0.8063  0.1937  0.00
Rb  0.5000  0.6937  0.6937  0.00
Rb  0.5000  0.3063  0.3063  0.00
Br  0.5000  0.0000  0.0000  0.02
Br  0.0000  0.5000  0.5000  0.02
O  0.0000  0.1547  0.2614  0.60
O  0.0000  0.8453  0.7386  0.60
O  0.5000  0.2386  0.6547  0.60
O  0.5000  0.7614  0.3453  0.60
O  0.5000  0.3453  0.7614  0.60
O  0.5000  0.6547  0.2386  0.60
O  0.0000  0.2614  0.1547  0.60
O  0.0000  0.7386  0.8453  0.60

Mass density: 2.622 g/cm³
ΔE_f (raw): -19.0 kcal/mol of atoms
Raw total energy: -4.17 eV/atom
SG: P4_2/mnm (136)
Relative energy among the computed polymorphs: 0.0 meV per atom

---

No. 5
A relaxed structure of Pr2NbSi3Ir4, computed with PBE.

Cell lengths 4.1830, 4.1830, 10.4387 Å; angles 90.00, 90.00, 90.00 degrees
Sites, in units of the cell vectors:
Pr  0.5000  0.0000  0.2423
Pr  0.0000  0.5000  0.7577
Nb  0.5000  0.5000  0.5000
Si  0.0000  0.0000  0.5000
Si  0.5000  0.0000  0.8761
Si  0.0000  0.5000  0.1239
Ir  0.5000  0.5000  0.0000
Ir  0.0000  0.0000  0.0000
Ir  0.5000  0.0000  0.6414
Ir  0.0000  0.5000  0.3586

Mass density: 11.163 g/cm³
ΔE_f (raw): -21.2 kcal/mol of atoms
Raw total energy: -8.05 eV/atom
SG: P-4m2 (115)

---

No. 6
A relaxed structure of Li2La2TmGe2, computed with PBE.

Cell lengths 4.4540, 4.4540, 10.0532 Å; angles 77.20, 77.20, 60.00 degrees
Sites, in units of the cell vectors:
Li  0.6159  0.6159  0.1522
Li  0.3841  0.3841  0.8478
La  0.1227  0.1227  0.6319
La  0.8773  0.8773  0.3681
Tm  0.0000  0.0000  0.0000
Ge  0.7253  0.7253  0.8242
Ge  0.2747  0.2747  0.1758

Mass density: 6.026 g/cm³
Raw total energy: -4.41 eV/atom
ΔE_f: -3.5 eV per formula unit
SG: R-3m (166)

---

No. 7
A relaxed structure of La2Pu2Ge4Pt, computed with PBE.

Cell lengths 6.6507, 6.6507, 6.6507 Å; angles 99.45, 114.70, 114.70 degrees
Each line ends with the local moment (μB).
Sites, in units of the cell vectors:
La  0.5000  0.7500  0.2500  0.07
La  0.5000  0.2500  0.7500  0.07
Pu  0.0000  0.6691  0.6691  5.40
Pu  0.0000  0.3309  0.3309  5.40
Ge  0.0000  0.7540  0.2460  -0.06
Ge  0.5079  0.7540  0.7540  -0.06
Ge  0.0000  0.2460  0.7540  -0.06
Ge  0.4921  0.2460  0.2460  -0.06
Pt  0.0000  0.0000  0.0000  -0.06

Mass density: 9.386 g/cm³
Raw total energy: -7.51 eV/atom
ΔE_f: -4.6 eV per formula unit
SG: I4/mmm (139)

---

No. 8
A relaxed structure of Er8Zn2Rh, computed with PBE.

Cell lengths 5.9944, 8.7160, 8.7160 Å; angles 129.42, 103.43, 103.43 degrees
Sites, in units of the cell vectors:
Er  0.6481  0.3975  0.1599
Er  0.6481  0.1599  0.3975
Er  0.1214  0.2723  0.2723
Er  0.9850  0.1979  0.8081
Er  0.9850  0.8081  0.1979
Er  0.7704  0.7169  0.7169
Er  0.3017  0.8468  0.6177
Er  0.3017  0.6177  0.8468
Zn  0.4734  0.7259  0.2821
Zn  0.4734  0.2821  0.7259
Rh  0.2917  0.0088  0.0088

Mass density: 8.841 g/cm³
Raw total energy: -4.43 eV/atom
ΔE_f: -2.4 eV per formula unit
SG: Cm (8)
Relative energy among the computed polymorphs: 62.5 meV per atom